The following is a DFT calculation (PBEsol) of a relaxed Sm12Co6Pb crystal.

Cell and atoms, written as CIF:
```
data_Sm12Co6Pb
_cell_length_a 8.4137
_cell_length_b 8.4137
_cell_length_c 8.4137
_cell_angle_alpha 109.47
_cell_angle_beta 109.47
_cell_angle_gamma 109.47
_space_group_name_H-M_alt 'P 1'
_space_group_IT_number 1
loop_
_space_group_symop_operation_xyz
'x,y,z'
loop_
_atom_site_label
_atom_site_fract_x
_atom_site_fract_y
_atom_site_fract_z
Sm1 0.1114 0.8060 0.3054
Sm2 0.1940 0.3054 0.4994
Sm3 0.1940 0.6946 0.8886
Sm4 0.3054 0.1114 0.8060
Sm5 0.3054 0.4994 0.1940
Sm6 0.4994 0.1940 0.3054
Sm7 0.5006 0.8060 0.6946
Sm8 0.6946 0.5006 0.8060
Sm9 0.6946 0.8886 0.1940
Sm10 0.8060 0.3054 0.1114
Sm11 0.8060 0.6946 0.5006
Sm12 0.8886 0.1940 0.6946
Co1 0.1119 0.6119 0.5000
Co2 0.3881 0.5000 0.8881
Co3 0.5000 0.1119 0.6119
Co4 0.5000 0.8881 0.3881
Co5 0.6119 0.5000 0.1119
Co6 0.8881 0.3881 0.5000
Pb1 0.0000 0.0000 0.0000
```

Values from the calculation:
Crystal system = cubic
Total magnetic moment = 0.00 μB per cell
N(E_F) = 10.317 states/eV/f.u.
Formation energy from the elements = -3.66 eV per formula unit

The following is a DFT calculation (PBEsol) of a relaxed SrCo3Pb crystal.

Cell and atoms, written as CIF:
```
data_SrCo3Pb
_cell_length_a 4.8449
_cell_length_b 4.8449
_cell_length_c 4.8449
_cell_angle_alpha 90.00
_cell_angle_beta 90.00
_cell_angle_gamma 90.00
_space_group_name_H-M_alt 'P 1'
_space_group_IT_number 1
loop_
_space_group_symop_operation_xyz
'x,y,z'
loop_
_atom_site_label
_atom_site_fract_x
_atom_site_fract_y
_atom_site_fract_z
Sr1 0.0000 0.0000 0.0000
Co1 0.0000 0.5000 0.5000
Co2 0.5000 0.0000 0.5000
Co3 0.5000 0.5000 0.0000
Pb1 0.5000 0.5000 0.5000
```

Values from the calculation:
Crystal system = cubic
Total magnetic moment = 4.38 μB per cell
N(E_F) = 13.423 states/eV/f.u.
Distance to the lowest polymorph of the same formula = 0.0 meV/atom
Formation energy from the elements = 5.55 eV per formula unit

The following is a DFT calculation (PBEsol) of a relaxed Sr2CoPb crystal.

Cell and atoms, written as CIF:
```
data_Sr2CoPb
_cell_length_a 5.3826
_cell_length_b 5.3826
_cell_length_c 3.9726
_cell_angle_alpha 90.00
_cell_angle_beta 90.00
_cell_angle_gamma 90.12
_space_group_name_H-M_alt 'P 1'
_space_group_IT_number 1
loop_
_space_group_symop_operation_xyz
'x,y,z'
loop_
_atom_site_label
_atom_site_fract_x
_atom_site_fract_y
_atom_site_fract_z
Sr1 0.0000 0.5000 0.0000
Sr2 0.5000 0.0000 0.0000
Co1 0.0000 0.0000 0.5000
Pb1 0.5000 0.5000 0.5000
```

Values from the calculation:
Crystal system = orthorhombic
Total magnetic moment = 1.48 μB per cell
N(E_F) = 5.113 states/eV/f.u.
Formation energy from the elements = 0.70 eV per formula unit

The following is a DFT calculation (PBEsol) of a relaxed SrCo3Pb crystal.

Cell and atoms, written as CIF:
```
data_SrCo3Pb
_cell_length_a 4.6724
_cell_length_b 4.6724
_cell_length_c 4.6724
_cell_angle_alpha 90.00
_cell_angle_beta 90.00
_cell_angle_gamma 90.00
_space_group_name_H-M_alt 'P 1'
_space_group_IT_number 1
loop_
_space_group_symop_operation_xyz
'x,y,z'
loop_
_atom_site_label
_atom_site_fract_x
_atom_site_fract_y
_atom_site_fract_z
Sr1 0.0000 0.0000 0.0000
Co1 0.0000 0.0000 0.5000
Co2 0.0000 0.5000 0.0000
Co3 0.5000 0.0000 0.0000
Pb1 0.5000 0.5000 0.5000
```

Values from the calculation:
Crystal system = cubic
Total magnetic moment = 3.27 μB per cell
N(E_F) = 13.587 states/eV/f.u.
Distance to the lowest polymorph of the same formula = 892.0 meV/atom
Formation energy from the elements = 10.01 eV per formula unit

The following is a DFT calculation (PBEsol) of a relaxed Ta4CoPb crystal.

Cell and atoms, written as CIF:
```
data_Ta4CoPb
_cell_length_a 5.3968
_cell_length_b 5.3968
_cell_length_c 5.3968
_cell_angle_alpha 60.00
_cell_angle_beta 60.00
_cell_angle_gamma 60.00
_space_group_name_H-M_alt 'P 1'
_space_group_IT_number 1
loop_
_space_group_symop_operation_xyz
'x,y,z'
loop_
_atom_site_label
_atom_site_fract_x
_atom_site_fract_y
_atom_site_fract_z
Ta1 0.1249 0.1249 0.1249
Ta2 0.1249 0.1249 0.6253
Ta3 0.1249 0.6253 0.1249
Ta4 0.6253 0.1249 0.1249
Co1 0.5000 0.5000 0.5000
Pb1 0.7500 0.7500 0.7500
```

Values from the calculation:
Crystal system = cubic
Total magnetic moment = 0.82 μB per cell
N(E_F) = 4.904 states/eV/f.u.
Formation energy from the elements = 4.17 eV per formula unit

The following is a DFT calculation (PBEsol) of a relaxed TaCoPb2 crystal.

Cell and atoms, written as CIF:
```
data_TaCoPb2
_cell_length_a 5.5218
_cell_length_b 5.5218
_cell_length_c 5.3054
_cell_angle_alpha 118.54
_cell_angle_beta 118.54
_cell_angle_gamma 33.10
_space_group_name_H-M_alt 'P 1'
_space_group_IT_number 1
loop_
_space_group_symop_operation_xyz
'x,y,z'
loop_
_atom_site_label
_atom_site_fract_x
_atom_site_fract_y
_atom_site_fract_z
Ta1 0.0000 0.0000 0.0000
Co1 0.5000 0.5000 0.5000
Pb1 0.2203 0.2203 0.7204
Pb2 0.7797 0.7797 0.2796
```

Values from the calculation:
Crystal system = monoclinic
Total magnetic moment = 0.01 μB per cell
N(E_F) = 3.414 states/eV/f.u.
Distance to the lowest polymorph of the same formula = 41.4 meV/atom
Formation energy from the elements = 2.71 eV per formula unit

The following is a DFT calculation (PBEsol) of a relaxed TaCoPb2 crystal.

Cell and atoms, written as CIF:
```
data_TaCoPb2
_cell_length_a 3.1158
_cell_length_b 3.1158
_cell_length_c 8.1459
_cell_angle_alpha 90.00
_cell_angle_beta 90.00
_cell_angle_gamma 105.74
_space_group_name_H-M_alt 'P 1'
_space_group_IT_number 1
loop_
_space_group_symop_operation_xyz
'x,y,z'
loop_
_atom_site_label
_atom_site_fract_x
_atom_site_fract_y
_atom_site_fract_z
Ta1 0.0000 0.0000 0.0000
Co1 0.0000 0.0000 0.5000
Pb1 0.5000 0.5000 0.2784
Pb2 0.5000 0.5000 0.7216
```

Values from the calculation:
Crystal system = orthorhombic
Total magnetic moment = 0.64 μB per cell
N(E_F) = 2.609 states/eV/f.u.
Distance to the lowest polymorph of the same formula = 0.0 meV/atom
Formation energy from the elements = 2.55 eV per formula unit

The following is a DFT calculation (PBEsol) of a relaxed TaCoPb2 crystal.

Cell and atoms, written as CIF:
```
data_TaCoPb2
_cell_length_a 5.5232
_cell_length_b 5.5232
_cell_length_c 5.5232
_cell_angle_alpha 137.36
_cell_angle_beta 137.36
_cell_angle_gamma 61.89
_space_group_name_H-M_alt 'P 1'
_space_group_IT_number 1
loop_
_space_group_symop_operation_xyz
'x,y,z'
loop_
_atom_site_label
_atom_site_fract_x
_atom_site_fract_y
_atom_site_fract_z
Ta1 0.0000 0.0000 0.0000
Co1 0.7500 0.2500 0.5000
Pb1 0.2500 0.7500 0.5000
Pb2 0.5000 0.5000 0.0000
```

Values from the calculation:
Crystal system = tetragonal
Total magnetic moment = 1.09 μB per cell
N(E_F) = 3.672 states/eV/f.u.
Distance to the lowest polymorph of the same formula = 69.2 meV/atom
Formation energy from the elements = 2.82 eV per formula unit

The following is a DFT calculation (PBEsol) of a relaxed CoTc2Pb crystal.

Cell and atoms, written as CIF:
```
data_CoTc2Pb
_cell_length_a 3.0047
_cell_length_b 3.0047
_cell_length_c 6.8747
_cell_angle_alpha 90.00
_cell_angle_beta 90.00
_cell_angle_gamma 90.00
_space_group_name_H-M_alt 'P 1'
_space_group_IT_number 1
loop_
_space_group_symop_operation_xyz
'x,y,z'
loop_
_atom_site_label
_atom_site_fract_x
_atom_site_fract_y
_atom_site_fract_z
Co1 0.0000 0.0000 0.0000
Tc1 0.0000 0.0000 0.5773
Tc2 0.5000 0.5000 0.7851
Pb1 0.5000 0.5000 0.2634
```

Values from the calculation:
Crystal system = tetragonal
Total magnetic moment = 1.46 μB per cell
N(E_F) = 4.113 states/eV/f.u.
Formation energy from the elements = 1.75 eV per formula unit

The following is a DFT calculation (PBEsol) of a relaxed CoTcPb2 crystal.

Cell and atoms, written as CIF:
```
data_CoTcPb2
_cell_length_a 4.5768
_cell_length_b 4.5768
_cell_length_c 3.3103
_cell_angle_alpha 90.00
_cell_angle_beta 90.00
_cell_angle_gamma 90.00
_space_group_name_H-M_alt 'P 1'
_space_group_IT_number 1
loop_
_space_group_symop_operation_xyz
'x,y,z'
loop_
_atom_site_label
_atom_site_fract_x
_atom_site_fract_y
_atom_site_fract_z
Co1 0.0000 0.0000 0.0000
Tc1 0.5000 0.5000 0.0000
Pb1 0.0000 0.5000 0.5000
Pb2 0.5000 0.0000 0.5000
```

Values from the calculation:
Crystal system = tetragonal
Total magnetic moment = 0.01 μB per cell
N(E_F) = 2.046 states/eV/f.u.
Distance to the lowest polymorph of the same formula = 0.0 meV/atom
Formation energy from the elements = 2.59 eV per formula unit

The following is a DFT calculation (PBEsol) of a relaxed CoTcPb2 crystal.

Cell and atoms, written as CIF:
```
data_CoTcPb2
_cell_length_a 4.4811
_cell_length_b 4.4811
_cell_length_c 5.5414
_cell_angle_alpha 103.28
_cell_angle_beta 103.28
_cell_angle_gamma 42.25
_space_group_name_H-M_alt 'P 1'
_space_group_IT_number 1
loop_
_space_group_symop_operation_xyz
'x,y,z'
loop_
_atom_site_label
_atom_site_fract_x
_atom_site_fract_y
_atom_site_fract_z
Co1 0.0000 0.0000 0.0000
Tc1 0.5000 0.5000 0.5000
Pb1 0.2560 0.2560 0.7589
Pb2 0.7440 0.7440 0.2411
```

Values from the calculation:
Crystal system = monoclinic
Total magnetic moment = 0.80 μB per cell
N(E_F) = 4.689 states/eV/f.u.
Distance to the lowest polymorph of the same formula = 128.3 meV/atom
Formation energy from the elements = 3.10 eV per formula unit

The following is a DFT calculation (PBEsol) of a relaxed CoTc2Pb crystal.

Cell and atoms, written as CIF:
```
data_CoTc2Pb
_cell_length_a 4.9283
_cell_length_b 4.9283
_cell_length_c 4.9283
_cell_angle_alpha 134.82
_cell_angle_beta 134.82
_cell_angle_gamma 65.82
_space_group_name_H-M_alt 'P 1'
_space_group_IT_number 1
loop_
_space_group_symop_operation_xyz
'x,y,z'
loop_
_atom_site_label
_atom_site_fract_x
_atom_site_fract_y
_atom_site_fract_z
Co1 0.0000 0.0000 0.0000
Tc1 0.2500 0.7500 0.5000
Tc2 0.7500 0.2500 0.5000
Pb1 0.5000 0.5000 0.0000
```

Values from the calculation:
Crystal system = tetragonal
Total magnetic moment = 0.01 μB per cell
N(E_F) = 5.627 states/eV/f.u.
Formation energy from the elements = 2.31 eV per formula unit

The following is a DFT calculation (PBEsol) of a relaxed CoTe2Pb crystal.

Cell and atoms, written as CIF:
```
data_CoTe2Pb
_cell_length_a 3.2829
_cell_length_b 3.2829
_cell_length_c 8.3987
_cell_angle_alpha 90.00
_cell_angle_beta 90.00
_cell_angle_gamma 90.00
_space_group_name_H-M_alt 'P 1'
_space_group_IT_number 1
loop_
_space_group_symop_operation_xyz
'x,y,z'
loop_
_atom_site_label
_atom_site_fract_x
_atom_site_fract_y
_atom_site_fract_z
Co1 0.0000 0.0000 0.0000
Te1 0.5000 0.5000 0.1800
Te2 0.5000 0.5000 0.8200
Pb1 0.0000 0.0000 0.5000
```

Values from the calculation:
Crystal system = tetragonal
Formation energy from raw total energies = 0.80 eV per formula unit
Total magnetic moment = 0.03 μB per cell
N(E_F) = 3.233 states/eV/f.u.

The following is a DFT calculation (PBEsol) of a relaxed CoTe2Pb crystal.

Cell and atoms, written as CIF:
```
data_CoTe2Pb
_cell_length_a 5.2341
_cell_length_b 5.2341
_cell_length_c 3.4924
_cell_angle_alpha 90.00
_cell_angle_beta 90.00
_cell_angle_gamma 90.00
_space_group_name_H-M_alt 'P 1'
_space_group_IT_number 1
loop_
_space_group_symop_operation_xyz
'x,y,z'
loop_
_atom_site_label
_atom_site_fract_x
_atom_site_fract_y
_atom_site_fract_z
Co1 0.0000 0.0000 0.0000
Te1 0.0000 0.5000 0.5000
Te2 0.5000 0.0000 0.5000
Pb1 0.5000 0.5000 0.0000
```

Values from the calculation:
Crystal system = tetragonal
Formation energy from raw total energies = 2.11 eV per formula unit
Total magnetic moment = 1.46 μB per cell
N(E_F) = 6.730 states/eV/f.u.

The following is a DFT calculation (PBEsol) of a relaxed TiCoPb2 crystal.

Cell and atoms, written as CIF:
```
data_TiCoPb2
_cell_length_a 4.7217
_cell_length_b 4.7217
_cell_length_c 4.7217
_cell_angle_alpha 60.00
_cell_angle_beta 60.00
_cell_angle_gamma 60.00
_space_group_name_H-M_alt 'P 1'
_space_group_IT_number 1
loop_
_space_group_symop_operation_xyz
'x,y,z'
loop_
_atom_site_label
_atom_site_fract_x
_atom_site_fract_y
_atom_site_fract_z
Ti1 0.0000 0.0000 0.0000
Co1 0.5000 0.5000 0.5000
Pb1 0.2500 0.2500 0.2500
Pb2 0.7500 0.7500 0.7500
```

Values from the calculation:
Crystal system = cubic
Total magnetic moment = 1.65 μB per cell
N(E_F) = 5.403 states/eV/f.u.
Formation energy from the elements = 1.60 eV per formula unit